Ba2MgRhS | PBE | relaxed

Lattice parameters (Å, degrees): 6.320 4.493 6.320 90.00 90.00 90.00
Fractional positions:
Rh: 0.500 0.500 0.500
Ba: 0.000 0.000 0.500
Ba: 0.500 0.000 0.000
Mg: 0.000 0.000 0.000
S: 0.000 0.500 0.000

Calculated values
ΔE_f (raw): 101.8 kJ/mol of formula units